Compound: Be3CdPb
Source: Alexandria
Functional: PBE
Structure: optimized geometry

Lattice parameters (Å, degrees): 4.554 4.554 4.554 90.00 90.00 90.00
Fractional coordinates of all 5 atoms:
Be (0.500, 0.000, 0.000)
Be (0.000, 0.500, 0.000)
Be (0.000, 0.000, 0.500)
Cd (0.000, 0.000, 0.000)
Pb (0.500, 0.500, 0.500)

Calculated values
V = 18.889 Å³/atom
Offset from the most stable computed form = 0 meV per atom
Total DFT energy (no corrections) = -10.889 eV/cell
Formation energy = 982.5 meV/atom